Record 1
Mg3HgN (PBEsol, optimized geometry); energy relative to the elements, uncorrected = -2.58 eV/f.u.; electronic total energy = -3.364 eV/atom; Fermi-level density of states = 0.3287 states/eV per atom
1.0
-3.366 1.895 -1.892
-2.499 -3.316 1.124
-0.964 1.979 3.696
Mg Hg N
3 1 1
Direct
0.500 0.000 0.000 Mg
0.000 0.500 0.000 Mg
0.000 0.000 0.500 Mg
0.500 0.500 0.500 Hg
0.000 0.000 0.000 N


Record 2
MgS (PBEsol, optimized geometry); energy relative to the elements, uncorrected = -2.96 eV/f.u.; electronic total energy = -4.529 eV/atom; Fermi-level density of states = 0.0000 states/eV per atom
1.0
3.664 0.000 0.000
1.832 3.173 0.000
1.832 1.058 2.992
S Mg
1 1
Direct
0.500 0.500 0.500 S
0.000 0.000 0.000 Mg


Record 3
MnPd3W (PBEsol, optimized geometry); ΔE_f = 1.509 eV per atom; electronic total energy = -6.779 eV/atom; Fermi-level density of states = 1.1081 states/eV per atom
1.0
4.465 0.000 0.000
0.000 4.465 0.000
0.000 0.000 4.465
Pd W Mn
3 1 1
Direct
0.000 0.500 0.000 Pd
0.500 0.000 0.000 Pd
0.000 0.000 0.500 Pd
0.500 0.500 0.500 W
0.000 0.000 0.000 Mn


Record 4
TaPBr2 (PBEsol, optimized geometry); energy relative to the elements, uncorrected = 2.51 eV/f.u.; electronic total energy = -4.894 eV/atom; polymorph energy (0 for the lowest one) = 0.889 eV/atom; Fermi-level density of states = 0.7463 states/eV per atom
1.0
3.088 0.000 0.000
0.000 4.579 0.000
0.000 0.000 5.214
Ta P Br
1 1 2
Direct
0.000 0.500 0.500 Ta
0.500 0.500 0.000 P
0.500 0.000 0.500 Br
0.000 0.000 0.000 Br


Record 5
MnIrBr2 (PBEsol, optimized geometry); energy relative to the elements, uncorrected = 4.09 eV/f.u.; electronic total energy = -4.807 eV/atom; polymorph energy (0 for the lowest one) = 0.843 eV/atom; Fermi-level density of states = 1.3034 states/eV per atom
1.0
4.652 0.000 0.000
2.326 4.029 0.000
2.326 1.343 3.798
Br Mn Ir
2 1 1
Direct
0.000 0.000 0.000 Br
0.750 0.750 0.750 Br
0.250 0.250 0.250 Mn
0.500 0.500 0.500 Ir


Record 6
LaMgSN2 (PBEsol, optimized geometry); energy relative to the elements, uncorrected = -0.89 eV/f.u.; electronic total energy = -5.878 eV/atom; Fermi-level density of states = 0.6899 states/eV per atom
1.0
-2.249 2.675 -2.176
0.479 -2.330 -3.360
-3.864 -2.364 1.089
Mg N La S
1 2 1 1
Direct
0.000 0.000 0.000 Mg
0.000 0.500 0.000 N
0.500 0.000 0.000 N
0.500 0.500 0.500 La
0.000 0.000 0.500 S


Record 7
BaLi2Ti6O14 (PBEsol, optimized geometry); energy relative to the elements, uncorrected = -68.95 eV/f.u.; electronic total energy = -8.629 eV/atom; Fermi-level density of states = 0.0000 states/eV per atom
1.0
10.013 -0.002 0.000
-3.669 9.317 0.000
0.000 0.000 11.526
O Ti Li Ba
56 24 8 4
Direct
0.359 0.130 0.240 O
0.141 0.370 0.740 O
0.634 0.366 0.500 O
0.870 0.134 0.249 O
0.596 0.596 0.369 O
0.637 0.865 0.481 O
0.854 0.377 0.378 O
0.379 0.848 0.872 O
0.635 0.863 0.981 O
0.096 0.096 0.131 O
0.621 0.152 0.128 O
0.866 0.134 0.000 O
0.137 0.365 0.019 O
0.904 0.904 0.869 O
0.652 0.121 0.372 O
0.146 0.623 0.622 O
0.348 0.879 0.628 O
0.879 0.348 0.628 O
0.354 0.877 0.122 O
0.366 0.634 0.500 O
0.366 0.630 0.749 O
0.130 0.866 0.751 O
0.865 0.637 0.481 O
0.627 0.373 0.000 O
0.404 0.404 0.126 O
0.634 0.370 0.251 O
0.123 0.646 0.878 O
0.630 0.366 0.749 O
0.630 0.859 0.260 O
0.870 0.641 0.760 O
0.377 0.854 0.378 O
0.134 0.866 0.000 O
0.134 0.870 0.249 O
0.877 0.354 0.122 O
0.121 0.652 0.372 O
0.904 0.904 0.374 O
0.370 0.634 0.251 O
0.135 0.363 0.519 O
0.404 0.404 0.631 O
0.370 0.141 0.740 O
0.646 0.123 0.878 O
0.363 0.135 0.519 O
0.863 0.635 0.981 O
0.152 0.621 0.128 O
0.127 0.873 0.500 O
0.873 0.127 0.500 O
0.096 0.096 0.626 O
0.596 0.596 0.874 O
0.130 0.359 0.240 O
0.848 0.379 0.872 O
0.365 0.137 0.019 O
0.373 0.627 0.000 O
0.623 0.146 0.622 O
0.866 0.130 0.751 O
0.641 0.870 0.760 O
0.859 0.630 0.260 O
0.519 0.741 0.858 Ti
0.743 0.243 0.750 Ti
0.994 0.775 0.885 Ti
0.259 0.481 0.142 Ti
0.741 0.519 0.858 Ti
0.019 0.241 0.642 Ti
0.275 0.494 0.615 Ti
0.481 0.259 0.142 Ti
0.981 0.759 0.358 Ti
0.257 0.757 0.250 Ti
0.261 0.739 0.000 Ti
0.006 0.225 0.115 Ti
0.775 0.994 0.885 Ti
0.725 0.506 0.385 Ti
0.241 0.019 0.642 Ti
0.757 0.257 0.250 Ti
0.761 0.239 0.500 Ti
0.739 0.261 0.000 Ti
0.243 0.743 0.750 Ti
0.225 0.006 0.115 Ti
0.506 0.725 0.385 Ti
0.759 0.981 0.358 Ti
0.239 0.761 0.500 Ti
0.494 0.275 0.615 Ti
0.934 0.556 0.621 Li
0.944 0.566 0.121 Li
0.566 0.944 0.121 Li
0.056 0.434 0.879 Li
0.556 0.934 0.621 Li
0.066 0.444 0.379 Li
0.444 0.066 0.379 Li
0.434 0.056 0.879 Li
0.856 0.856 0.621 Ba
0.644 0.644 0.121 Ba
0.144 0.144 0.379 Ba
0.356 0.356 0.879 Ba


Record 8
KCaOs2F (PBEsol, optimized geometry); energy relative to the elements, uncorrected = 5.11 eV/f.u.; electronic total energy = -4.903 eV/atom; Fermi-level density of states = 0.9265 states/eV per atom
1.0
-4.111 1.499 0.383
-0.608 -2.566 3.514
1.549 3.523 2.840
F Os Ca K
1 2 1 1
Direct
0.000 0.000 0.000 F
0.500 0.000 0.000 Os
0.000 0.500 0.000 Os
0.000 0.000 0.500 Ca
0.500 0.500 0.500 K


Record 9
RbLaAsBr2 (PBEsol, optimized geometry); energy relative to the elements, uncorrected = -6.01 eV/f.u.; electronic total energy = -4.245 eV/atom; Fermi-level density of states = 1.0749 states/eV per atom
1.0
-5.280 0.668 1.443
-1.444 -4.783 -3.072
0.880 -3.319 4.755
Br Rb La As
2 1 1 1
Direct
0.000 0.500 0.000 Br
0.000 0.000 0.500 Br
0.500 0.500 0.500 Rb
0.000 0.000 0.000 La
0.500 0.000 0.000 As


Record 10
TcHg2Cl (PBEsol, optimized geometry); energy relative to the elements, uncorrected = 2.23 eV/f.u.; electronic total energy = -3.044 eV/atom; polymorph energy (0 for the lowest one) = 0.365 eV/atom; Fermi-level density of states = 0.7375 states/eV per atom
1.0
-1.844 -2.249 -0.777
3.682 -2.071 -2.744
1.516 -2.631 4.020
Cl Tc Hg
1 1 2
Direct
0.500 0.000 0.000 Cl
0.500 0.500 0.500 Tc
0.000 0.500 0.000 Hg
0.000 0.000 0.500 Hg


Record 11
Ca2CdGa (PBEsol, optimized geometry); ΔE_f = -0.412 eV per atom; electronic total energy = -2.613 eV/atom; Fermi-level density of states = 0.5492 states/eV per atom
1.0
5.210 0.000 0.000
2.605 4.512 0.000
2.605 1.504 4.254
Ga Cd Ca
1 1 2
Direct
0.000 0.000 0.000 Ga
0.500 0.500 0.500 Cd
0.250 0.250 0.250 Ca
0.750 0.750 0.750 Ca


Record 12
CsKS2Cl (PBEsol, optimized geometry); energy relative to the elements, uncorrected = -0.37 eV/f.u.; electronic total energy = -2.645 eV/atom; Fermi-level density of states = 1.8076 states/eV per atom
1.0
-4.756 2.086 1.887
-1.941 0.248 -5.167
-2.324 -5.833 0.593
S Cl Cs K
2 1 1 1
Direct
0.000 0.500 0.000 S
0.500 0.000 0.000 S
0.000 0.000 0.500 Cl
0.000 0.000 0.000 Cs
0.500 0.500 0.500 K